[1]
Entry from the Alexandria database: a relaxed structure of Cs3MgNp2O9 (PBE).

a = 6.1560 Å, b = 6.1560 Å, c = 7.5481 Å
α = 90.00°, β = 90.00°, γ = 120.00°
Last column: nearest neighbours and their distance in Å.
Space group P-3m1 (No. 164)
Symmetry-distinct sites (fractional):
Cs  0.0000  0.0000  0.0000 x1  12 O 3.07-3.08
Cs  0.3333  0.6667  0.6593 x2  12 O 3.06-3.13
Mg  0.0000  0.0000  0.5000 x1  6 O 2.34
Np  0.3333  0.6667  0.1685 x2  6 O 2.00-2.19
O  0.0000  0.5000  0.0000 x3  2 Np 2.19
O  0.1783  0.3565  0.3187 x6  1 Np 2.00

Properties
The total energy is -109.837 eV per formula unit. As for the density of states at the Fermi level: 0.46 states/eV per atom.

---

[2]
Entry from the Alexandria database: a relaxed structure of Cu2IBr (PBE).

a = 7.0425 Å, b = 4.0662 Å, c = 7.3770 Å
α = 90.00°, β = 91.88°, γ = 90.00°
Last column: nearest neighbours and their distance in Å.
Space group Cm (No. 8)
Symmetry-distinct sites (fractional):
Cu  0.0000  0.0000  0.0000 x2  1 Br 2.47, 3 I 2.65-2.66, 3 Cu 2.69-2.71
Cu  0.1629  0.5000  0.8172 x2  3 Br 2.59-2.61, 1 I 2.60, 3 Cu 2.69-2.71
I  0.1732  0.5000  0.1694 x2  4 Cu 2.60-2.66
Br  0.4932  0.5000  0.6655 x2  4 Cu 2.47-2.61

Properties
The total energy is -12.158 eV per formula unit. As for the offset from the most stable computed form: 0 meV/atom.

---

[3]
Entry from the Alexandria database: a relaxed structure of EuBiI2 (PBE).

a = 4.2055 Å, b = 4.2055 Å, c = 36.7852 Å
α = 90.00°, β = 90.00°, γ = 120.00°
Last column: nearest neighbours and their distance in Å.
Space group R-3m (No. 166, hexagonal axes)
Symmetry-distinct sites (fractional):
Eu  0.0000  0.0000  0.0000 x3  6 I 3.18
Bi  0.0000  0.0000  0.5000 x3  2 I 4.08, 6 Bi 4.21
I  0.0000  0.0000  0.3891 x6  3 Eu 3.18

Properties
The total energy is -20.063 eV per formula unit. As for the density of states at the Fermi level: 3.60 states/eV per atom.

---

[4]
Entry from the Alexandria database: a relaxed structure of Ca2Zn15Cu2 (PBE).

a = 8.9911 Å, b = 8.9911 Å, c = 13.2412 Å
α = 90.00°, β = 90.00°, γ = 120.00°
Last column: nearest neighbours and their distance in Å.
Space group R-3m (No. 166, hexagonal axes)
Symmetry-distinct sites (fractional):
Ca  0.0000  0.0000  0.1630 x6  1 Cu 3.17, 18 Zn 3.21-3.50
Zn  0.0000  0.2894  0.5000 x18  8 Zn 2.58-2.77
Zn  0.0000  0.5000  0.0000 x9  8 Zn 2.58-2.61, 2 Cu 2.75
Zn  0.0008  0.5004  0.6523 x18  8 Zn 2.61-2.77, 1 Cu 2.82
Cu  0.0000  0.0000  0.4021 x6  1 Cu 2.59, 6 Zn 2.75-2.82

Properties
The total energy is -34.430 eV per formula unit. The value obtained for the formation enthalpy at 0 K is -3.125 eV per formula unit. As for the density of states at the Fermi level: 0.22 states/eV per atom.

---

[5]
Entry from the Alexandria database: a relaxed structure of KReHg2 (PBE).

a = 2.8636 Å, b = 4.7976 Å, c = 15.8936 Å
α = 90.00°, β = 90.00°, γ = 90.00°
Last column: nearest neighbours and their distance in Å.
Space group Imm2 (No. 44)
Symmetry-distinct sites (fractional):
K  0.0000  0.0000  0.0000 x2  2 K 2.86
Re  0.0000  0.5000  0.7021 x2  6 Hg 2.82-2.85, 2 Re 2.86
Hg  0.0000  0.0000  0.3570 x2  2 Re 2.85, 2 Hg 2.86
Hg  0.0000  0.5000  0.1779 x2  4 Re 2.82, 2 Hg 2.86

Properties
The total energy is -11.304 eV per formula unit. The value obtained for the formation enthalpy at 0 K is 2.845 eV per formula unit. As for the density of states at the Fermi level: 0.85 states/eV per atom. As for the offset from the most stable computed form: 0 meV/atom.

---

[6]
Entry from the Alexandria database: a relaxed structure of Ta2TeOsF (PBE).

a = 5.1194 Å, b = 5.1194 Å, c = 3.9065 Å
α = 90.00°, β = 90.00°, γ = 90.00°
Last column: nearest neighbours and their distance in Å.
Space group P4/mmm (No. 123)
Symmetry-distinct sites (fractional):
Ta  0.0000  0.5000  0.0000 x2  2 Te 2.56
Te  0.0000  0.0000  0.0000 x1  2 F 1.95
Os  0.5000  0.5000  0.5000 x1  8 Ta 3.22
F  0.0000  0.0000  0.5000 x1  2 Te 1.95

Properties
The total energy is -33.554 eV per formula unit. As for the density of states at the Fermi level: 1.25 states/eV per atom.